[1]
CrAgSe: optimized geometry, PBE-GGA.

a = 6.1448 Å, b = 6.1450 Å, c = 3.1549 Å
α = 75.12°, β = 75.13°, γ = 29.75°
Site moments in Bohr magnetons follow the coordinates.
Atoms (fractional coordinates):
Se 0.7054 0.7054 0.2946  -0.20
Ag 0.9824 0.9824 0.0176  0.01
Cr 0.3122 0.3122 0.6878  3.11

Output
Its density of states at the Fermi level is 0.291 states/eV/atom. The symmetry is I4mm (107). Its distance to the lowest polymorph of the same formula is 103 meV/atom. The value obtained for the volume is 57.0 Å³/cell.

---

[2]
CrAgSe: optimized geometry, PBE-GGA.

a = 3.4183 Å, b = 3.4183 Å, c = 5.8717 Å
α = 90.00°, β = 90.00°, γ = 120.00°
Site moments in Bohr magnetons follow the coordinates.
Atoms (fractional coordinates):
Se 0.6667 0.3333 0.6046  -0.15
Cr 0.3333 0.6667 0.3643  2.95
Ag 0.0000 0.0000 0.0311  0.01

Output
The symmetry is P3m1 (156). Its distance to the lowest polymorph of the same formula is 41 meV/atom. The value obtained for the volume is 59.4 Å³/cell.

---

> What is the distance to the lowest polymorph of the same formula in the second record?

41 meV/atom

---

Please write out number 1 again, unchanged.
CrAgSe: optimized geometry, PBE-GGA.

a = 6.1448 Å, b = 6.1450 Å, c = 3.1549 Å
α = 75.12°, β = 75.13°, γ = 29.75°
Site moments in Bohr magnetons follow the coordinates.
Atoms (fractional coordinates):
Se 0.7054 0.7054 0.2946  -0.20
Ag 0.9824 0.9824 0.0176  0.01
Cr 0.3122 0.3122 0.6878  3.11

Output
Its density of states at the Fermi level is 0.291 states/eV/atom. The symmetry is I4mm (107). Its distance to the lowest polymorph of the same formula is 103 meV/atom. The value obtained for the volume is 57.0 Å³/cell.

---

> Which formula does entry 1 have?

CrAgSe

---

> What is the formula in the first record?

CrAgSe